(1)
Material: BaSeF3
Method: DFT, GGA-PBE
State: relaxed

Calculated values
calculated density = 4.5 g/cm3
symmetry = No. 221
excess energy over the best structure of this formula in the dataset = 66 meV per atom
total magnetic moment = 0.00 μB per formula unit

CIF file:
```
data_BaSeF3
_chemical_formula_sum 'Ba1 Se1 F3'
_space_group_name_H-M_alt 'P 1'
_space_group_IT_number 1
_space_group_name_Hall 'P 1'
_cell_length_a 4.669
_cell_length_b 4.669
_cell_length_c 4.669
_cell_angle_alpha 90.00
_cell_angle_beta 90.00
_cell_angle_gamma 90.00
loop_
_atom_site_label
_atom_site_type_symbol
_atom_site_fract_x
_atom_site_fract_y
_atom_site_fract_z
Ba1 Ba 0.000 0.000 0.000
Se1 Se 0.500 0.500 0.500
F1 F 0.000 0.500 0.500
F2 F 0.500 0.000 0.500
F3 F 0.500 0.500 0.000
```

(2)
Material: LaTiTe3
Method: DFT, GGA-PBE
State: relaxed

Calculated values
calculated density = 6.2 g/cm3
symmetry = No. 12
excess energy over the best structure of this formula in the dataset = 0 meV per atom
total magnetic moment = 0.91 μB per formula unit

CIF file:
```
data_LaTiTe3
_chemical_formula_sum 'La2 Ti2 Te6'
_space_group_name_H-M_alt 'P 1'
_space_group_IT_number 1
_space_group_name_Hall 'P 1'
_cell_length_a 8.270
_cell_length_b 8.270
_cell_length_c 9.162
_cell_angle_alpha 91.44
_cell_angle_beta 91.44
_cell_angle_gamma 28.98
loop_
_atom_site_label
_atom_site_type_symbol
_atom_site_fract_x
_atom_site_fract_y
_atom_site_fract_z
La1 La 0.104 0.104 0.399
La2 La 0.896 0.896 0.601
Ti1 Ti 0.297 0.297 0.130
Ti2 Ti 0.703 0.703 0.870
Te1 Te 0.131 0.131 0.032
Te2 Te 0.247 0.247 0.668
Te3 Te 0.446 0.446 0.325
Te4 Te 0.554 0.554 0.675
Te5 Te 0.753 0.753 0.332
Te6 Te 0.869 0.869 0.968
```

(3)
Material: LiHf
Method: DFT, GGA-PBE
State: relaxed

Calculated values
calculated density = 7.8 g/cm3
symmetry = No. 87
excess energy over the best structure of this formula in the dataset = 202 meV per atom
total magnetic moment = 0.00 μB per formula unit
energy relative to the elements = 0.5259 eV per atom

CIF file:
```
data_LiHf
_chemical_formula_sum 'Li8 Hf8'
_space_group_name_H-M_alt 'P 1'
_space_group_IT_number 1
_space_group_name_Hall 'P 1'
_cell_length_a 10.517
_cell_length_b 10.517
_cell_length_c 2.840
_cell_angle_alpha 90.00
_cell_angle_beta 90.00
_cell_angle_gamma 90.00
loop_
_atom_site_label
_atom_site_type_symbol
_atom_site_fract_x
_atom_site_fract_y
_atom_site_fract_z
Li1 Li 0.067 0.632 0.000
Li2 Li 0.132 0.433 0.500
Li3 Li 0.368 0.067 0.000
Li4 Li 0.433 0.868 0.500
Li5 Li 0.567 0.132 0.500
Li6 Li 0.632 0.933 0.000
Li7 Li 0.868 0.567 0.500
Li8 Li 0.933 0.368 0.000
Hf1 Hf 0.137 0.168 0.000
Hf2 Hf 0.168 0.863 0.000
Hf3 Hf 0.332 0.637 0.500
Hf4 Hf 0.363 0.332 0.500
Hf5 Hf 0.637 0.668 0.500
Hf6 Hf 0.668 0.363 0.500
Hf7 Hf 0.832 0.137 0.000
Hf8 Hf 0.863 0.832 0.000
```